DFT (PBE-GGA) results for crystalline Pr2SmYTl2 at its relaxed geometry.

E_form: -1.69 eV per formula unit
space group: No. 26

POSCAR file:
```
Pr2SmYTl2
1.0
-4.412 -0.610 2.729
2.066 -6.349 1.921
4.582 4.003 8.302
Pr Y Tl Sm
4 2 4 2
Cartesian
-1.883 -0.484 1.847
1.520 -1.342 2.158
5.448 -1.987 8.363
3.320 -0.015 10.362
0.647 -3.370 5.291
1.307 1.284 7.398
2.314 -4.474 2.742
2.150 -2.374 7.944
-0.035 -0.207 4.895
4.526 1.535 7.660
4.085 -4.280 5.648
3.441 -0.766 5.392
```